An optimized crystal structure of Rb2RhWI6. Source: Alexandria, functional PBE.

Cell: 8.084 8.084 11.423 Å, 90.00 90.00 90.00°
Space group I4/mmm (No. 139)
Inequivalent atoms, fractional coordinates:
Rb 0.000 0.500 0.250 (multiplicity 4)
Rh 0.000 0.000 0.000 (multiplicity 2)
W 0.000 0.000 0.500 (multiplicity 2)
I 0.000 0.000 0.252 (multiplicity 4)
I 0.248 0.248 0.500 (multiplicity 8)

## Properties
VASP energy: -35.16 eV per formula unit
total magnetization: 4.97 μB per formula unit
uncorrected formation energy: -362 meV per atom
DOS at the Fermi energy: 0.337 states/eV/atom